[1]
A relaxed structure of Mn2BiPt2. Source: Alexandria via LeMat-Bulk, functional PBE.

a b c (Å): 4.027 4.027 10.580
angles (deg): 90.00 90.00 90.00
Space group I4/mmm (No. 139)
Inequivalent atoms, fractional coordinates:
Mn 0.000 0.000 0.096 [4 per cell]
Bi 0.000 0.000 0.500 [2 per cell]
Pt 0.000 0.500 0.250 [4 per cell]

## Properties
energy above the lowest structure with this stoichiometry: 389 meV/atom
uncorrected energy: -6.65 eV per atom
DOS(E_F): 0.97 states/eV per atom
E_form: 0.21 eV/atom

[2]
A relaxed structure of CeSmY3. Source: Alexandria via LeMat-Bulk, functional PBE.

a b c (Å): 6.151 12.046 9.388
angles (deg): 90.00 109.11 90.00
Space group C2/m (No. 12)
Inequivalent atoms, fractional coordinates:
Ce 0.000 0.112 0.000 [4 per cell]
Sm 0.000 0.249 0.500 [4 per cell]
Y 0.099 0.361 0.198 [8 per cell]
Y 0.190 0.000 0.377 [4 per cell]

## Properties
uncorrected energy: -5.82 eV per atom
DOS(E_F): 2.12 states/eV per atom
E_form: 0.19 eV/atom

[3]
A relaxed structure of BaOsF2. Source: Alexandria via LeMat-Bulk, functional PBE.

a b c (Å): 4.665 4.665 15.136
angles (deg): 90.00 90.00 90.00
Space group I-42d (No. 122)
Inequivalent atoms, fractional coordinates:
Ba 0.000 0.000 0.000 [4 per cell]
Os 0.000 0.000 0.500 [4 per cell]
F 0.149 0.250 0.625 [8 per cell]

## Properties
energy above the lowest structure with this stoichiometry: 69 meV/atom
uncorrected energy: -5.04 eV per atom
DOS(E_F): 0.50 states/eV per atom

> What is the uncorrected energy in the third record?

-5.04 eV per atom

> Which of these has the highest uncorrected energy?

BaOsF2